[1]
Computed, not measured: crystalline Ni2Bi5Pd2 at its relaxed geometry at the PBE level of DFT.

Properties
The space group is No. 46.

POSCAR file:
```
Ni2Bi5Pd2
1.0
7.490 0.000 0.000
0.000 6.992 0.000
-3.745 -3.496 8.040
Bi Ni Pd
10 4 4
Cartesian
-1.229 1.388 6.871
1.215 -0.664 2.363
2.530 2.832 2.363
1.215 -0.664 5.677
-0.898 3.448 4.020
2.530 2.832 5.677
-2.516 -2.108 6.871
4.974 4.884 1.168
4.643 -0.048 4.020
6.261 1.388 1.168
0.000 6.242 0.000
-0.375 0.839 4.020
4.120 4.335 4.020
3.745 2.746 0.000
3.585 0.430 6.652
0.160 3.926 1.388
0.160 3.926 6.652
3.585 0.430 1.388
```



[2]
Computed, not measured: crystalline NiBi6Pd2 at its relaxed geometry at the PBE level of DFT.

Properties
The space group is No. 14.

POSCAR file:
```
NiBi6Pd2
1.0
7.214 0.000 0.404
0.000 6.776 0.000
-0.325 0.000 9.302
Bi Ni Pd
12 2 4
Cartesian
4.458 3.589 2.711
2.431 3.187 6.995
1.171 2.265 0.601
4.564 1.144 8.841
0.688 6.575 7.160
4.616 1.123 5.454
2.273 5.653 4.252
5.718 4.511 9.105
1.120 2.244 3.988
6.201 0.201 2.546
2.325 5.632 0.865
5.769 4.532 5.718
-0.162 0.000 4.651
3.607 3.388 0.202
6.877 2.409 7.408
0.012 4.368 2.298
3.432 0.980 2.555
3.457 5.797 7.151
```



[3]
Computed, not measured: crystalline Ni3BiPd at its relaxed geometry at the PBE level of DFT.

Properties
The energy above the lowest structure with this stoichiometry comes out at 0.000 eV/atom. The space group is No. 221.

POSCAR file:
```
Ni3BiPd
1.0
4.592 0.000 0.000
0.000 4.592 0.000
0.000 0.000 4.592
Ni Bi Pd
3 1 1
Cartesian
0.000 2.296 0.000
2.296 0.000 0.000
0.000 0.000 2.296
2.296 2.296 2.296
0.000 0.000 0.000
```



[4]
Computed, not measured: crystalline NiBi6Pd3 at its relaxed geometry at the PBE level of DFT.

Properties
The space group is No. 14.

POSCAR file:
```
NiBi6Pd3
1.0
7.417 0.000 0.082
0.000 6.711 0.000
0.213 0.000 9.739
Pd Ni Bi
6 2 12
Cartesian
0.106 0.000 4.869
3.709 3.355 0.041
7.320 2.206 7.202
4.125 5.561 7.529
0.310 4.505 2.619
3.505 1.149 2.292
3.815 3.355 4.910
0.000 0.000 0.000
6.185 0.177 2.452
2.583 3.178 7.280
2.360 5.709 0.810
1.445 6.533 7.369
1.175 2.310 0.836
6.455 4.400 8.985
1.455 2.353 4.101
5.270 1.002 9.011
2.640 5.665 4.074
4.990 1.045 5.746
5.047 3.533 2.540
6.175 4.357 5.720
```



[5]
Computed, not measured: crystalline NiBiPd2 at its relaxed geometry at the PBE level of DFT.

Properties
The space group is No. 123.

POSCAR file:
```
NiBiPd2
1.0
-1.634 -2.394 -2.982
1.530 -3.252 1.772
-3.352 -0.401 2.159
Ni Pd Bi
1 2 1
Cartesian
-0.817 -1.197 -1.491
0.765 -1.626 0.886
-1.676 -0.200 1.079
-1.728 -3.023 0.475
```



[6]
Computed, not measured: crystalline NiBi5Pd2 at its relaxed geometry at the PBE level of DFT.

Properties
The space group is No. 63.

POSCAR file:
```
NiBi5Pd2
1.0
5.328 0.000 0.000
-2.664 6.882 0.000
0.000 0.000 13.240
Bi Pd Ni
10 4 2
Cartesian
0.000 0.663 5.024
2.664 2.802 7.666
2.664 3.383 3.310
2.664 6.219 8.216
2.664 6.219 11.644
0.000 4.080 5.574
2.664 2.802 12.194
0.000 3.498 9.930
0.000 4.080 1.046
0.000 0.663 1.596
0.000 1.974 12.357
2.664 4.908 5.737
0.000 1.974 7.502
2.664 4.908 0.882
2.664 4.305 9.930
0.000 2.577 3.310
```



[7]
Computed, not measured: crystalline NiBiPd2 at its relaxed geometry at the PBE level of DFT.

Properties
The space group is No. 122.

POSCAR file:
```
NiBiPd2
1.0
-3.787 0.319 0.868
-0.888 -0.232 -3.789
-2.965 -9.373 -0.737
Bi Pd Ni
2 4 2
Cartesian
-4.545 -4.505 -0.664
0.000 0.000 0.000
-3.991 -7.001 -1.707
-3.160 -2.178 -0.129
-1.829 -2.443 -2.430
-6.301 -6.950 -3.048
-3.096 -4.781 -2.993
-2.338 0.044 -1.460
```



[8]
Computed, not measured: crystalline Ni2BiPd2 at its relaxed geometry at the PBE level of DFT.

Properties
The energy above the lowest structure with this stoichiometry comes out at 0.061 eV/atom. The space group is No. 139.

POSCAR file:
```
Ni2BiPd2
1.0
3.516 0.000 0.000
0.000 3.516 0.000
1.758 1.758 6.835
Pd Ni Bi
2 2 1
Cartesian
1.758 1.758 1.519
3.516 3.516 5.315
1.758 3.516 3.417
3.516 1.758 3.417
0.000 0.000 0.000
```



[9]
Computed, not measured: crystalline Ni2Bi8Pd at its relaxed geometry at the PBE level of DFT.

Properties
The space group is No. 12.

POSCAR file:
```
Ni2Bi8Pd
1.0
5.143 -0.058 -0.044
-0.017 8.300 1.031
-0.017 3.228 7.716
Ni Bi Pd
2 8 1
Cartesian
1.217 1.967 1.492
3.891 9.503 7.210
1.353 7.844 3.515
3.756 3.625 5.187
3.756 5.972 2.095
1.029 4.031 3.058
4.080 7.439 5.644
3.783 1.943 1.474
1.353 5.498 6.608
1.326 9.526 7.228
0.000 0.000 0.000
```



[10]
Computed, not measured: crystalline Ni2BiPd at its relaxed geometry at the PBE level of DFT.

Properties
The space group is No. 123.

POSCAR file:
```
Ni2BiPd
1.0
3.725 0.000 0.000
0.000 4.064 0.000
0.000 0.000 4.064
Bi Pd Ni
1 1 2
Cartesian
1.863 2.032 2.032
1.863 0.000 0.000
0.000 2.032 0.000
0.000 0.000 2.032
```



[11]
Computed, not measured: crystalline NiBiPd at its relaxed geometry at the PBE level of DFT.

Properties
The energy above the lowest structure with this stoichiometry comes out at 0.030 eV/atom. The space group is No. 1.

POSCAR file:
```
NiBiPd
1.0
-5.222 -2.372 3.356
2.825 -4.877 1.071
2.231 -1.746 6.765
Bi Ni Pd
4 4 4
Cartesian
-1.198 -3.165 7.097
0.721 -3.826 3.957
-1.411 -6.537 5.100
-1.319 -6.333 8.828
1.853 -1.651 5.077
1.321 -3.496 1.192
1.211 -5.439 8.633
-1.945 -1.618 2.664
1.569 -3.432 7.024
0.732 -1.325 2.648
-2.090 -3.771 4.424
1.917 -6.141 6.104
```



[12]
Computed, not measured: crystalline NiBiPd at its relaxed geometry at the PBE level of DFT.

Properties
The energy above the lowest structure with this stoichiometry comes out at 0.113 eV/atom. The space group is No. 156.

POSCAR file:
```
NiBiPd
1.0
-1.287 1.619 -2.556
-3.877 -1.813 0.803
1.061 3.788 1.866
Bi Pd Ni
1 1 1
Cartesian
-3.000 1.022 -0.370
-0.022 0.028 -0.044
-1.081 2.546 0.526
```



no.,density of states at the Fermi level (states/eV/atom),energy relative to the elements (kcal/mol of atoms)
1,0.55,-1.0
2,0.41,-2.6
3,2.15,21.4
4,0.48,-3.7
5,0.90,-1.5
6,0.66,0.5
7,0.52,1.9
8,1.65,3.1
9,0.45,1.6
10,0.82,1.3
11,0.88,-0.2
12,0.67,1.7